Entry 1:
VASP calculation (GGA-PBE) on a geometry-optimized Tl2InOs structure.

a b c (Å): 3.9493 3.5166 7.4102
angles (deg): 76.32 90.00 90.00
Closest atoms and distances in Å follow each position.
Atoms (fractional coordinates):
1 Tl 0.5000 0.1768 0.2725  1 Os 2.85
2 Tl 0.0000 0.8282 0.9700  2 Os 2.94, 2 In 3.25-3.26
3 In 0.0000 0.5171 0.5896  4 Os 2.70
4 Os 0.5000 0.9780 0.6678  4 In 2.70, 3 Tl 2.85-2.94

**Symmetry**: No. 38
**Excess energy over the best structure of this formula in the dataset**: 42 kJ/mol of formula units
**ΔE_f**: 554 meV/atom
**Magnetic moment**: 0.0 μB per cell

***

Entry 2:
VASP calculation (GGA-PBE) on a geometry-optimized Tl2InOs structure.

a b c (Å): 5.1627 5.1627 3.4629
angles (deg): 90.00 90.00 109.32
Closest atoms and distances in Å follow each position.
Atoms (fractional coordinates):
1 Tl 0.0000 0.0000 0.0000  2 Tl 2.99, 4 Os 3.11, 4 In 3.11
2 Tl 0.5000 0.5000 0.0000  2 Tl 2.99, 4 In 3.11, 4 Os 3.11
3 Os 0.0000 0.5000 0.5000  2 In 2.99, 8 Tl 3.11
4 In 0.5000 0.0000 0.5000  2 Os 2.99, 8 Tl 3.11

**Symmetry**: No. 65
**Excess energy over the best structure of this formula in the dataset**: 176 kJ/mol of formula units
**ΔE_f**: 902 meV/atom
**Magnetic moment**: 0.0 μB per cell

***

Entry 3:
VASP calculation (GGA-PBE) on a geometry-optimized Tl2InOs structure.

a b c (Å): 10.8927 10.8927 10.8927
angles (deg): 16.67 16.67 16.67
Closest atoms and distances in Å follow each position.
Atoms (fractional coordinates):
1 Tl 0.0117 0.0117 0.0117  3 Os 2.94, 6 Tl 3.16
2 Tl 0.4883 0.4883 0.4883  3 Os 2.94, 6 Tl 3.16
3 Os 0.7500 0.7500 0.7500  6 Tl 2.94, 6 Os 3.16
4 In 0.2500 0.2500 0.2500  6 In 3.16

**Symmetry**: No. 166
**Excess energy over the best structure of this formula in the dataset**: 101 kJ/mol of formula units
**ΔE_f**: 707 meV/atom
**Magnetic moment**: 0.0 μB per cell

***

Entry 4:
VASP calculation (GGA-PBE) on a geometry-optimized TlIn3Os structure.

a b c (Å): 5.2287 5.2287 5.2287
angles (deg): 90.00 90.00 90.00
Closest atoms and distances in Å follow each position.
Atoms (fractional coordinates):
1 In 0.0000 0.0000 0.5000  2 Os 2.61
2 In 0.0000 0.5000 0.0000  2 Os 2.61
3 In 0.5000 0.0000 0.0000  2 Os 2.61
4 Os 0.0000 0.0000 0.0000  6 In 2.61
5 Tl 0.5000 0.5000 0.5000  12 In 3.70

**Symmetry**: No. 221
**Excess energy over the best structure of this formula in the dataset**: 0 kJ/mol of formula units
**ΔE_f**: 173 meV/atom
**Magnetic moment**: 0.0 μB per cell